No. 1
Below is crystalline Na3Ag2Hg4 at its relaxed geometry, with properties calculated at the PBE level.

Cell: 4.994 5.381 9.134 Å, 94.78 90.00 117.65°
Fractional coordinates of all 9 atoms:
Na (0.626, 0.251, 0.736)
Na (0.000, 0.000, 0.000)
Hg (0.946, 0.893, 0.656)
Hg (0.684, 0.367, 0.093)
Hg (0.054, 0.107, 0.344)
Hg (0.316, 0.633, 0.907)
Ag (0.727, 0.453, 0.412)
Ag (0.273, 0.547, 0.588)
Na (0.374, 0.749, 0.264)

Properties
Energy of formation   -0.14 eV/atom


No. 2
Below is crystalline PmDySc2Se4 at its relaxed geometry, with properties calculated at the PBE level.

Cell: 3.961 7.017 6.922 Å, 71.08 90.00 90.00°
Fractional coordinates of all 8 atoms:
Sc (0.500, 0.000, 0.500)
Sc (0.000, 0.000, 0.000)
Pm (0.500, 0.500, 0.000)
Se (0.500, 0.231, 0.751)
Se (0.000, 0.227, 0.263)
Se (0.000, 0.773, 0.737)
Se (0.500, 0.769, 0.249)
Dy (0.000, 0.500, 0.500)

Properties
ΔE_f (raw)   -1.680 eV/atom


No. 3
Below is crystalline La2HoAgTe5 at its relaxed geometry, with properties calculated at the PBE level.

Cell: 4.448 9.794 13.343 Å, 90.00 90.00 103.12°
Fractional coordinates of all 18 atoms:
Te (0.644, 0.289, 0.500)
Te (0.501, 0.003, 0.276)
Te (0.043, 0.086, 0.073)
Te (0.695, 0.391, 0.844)
Ho (0.193, 0.385, 0.010)
La (0.124, 0.249, 0.307)
La (0.111, 0.223, 0.687)
Te (0.356, 0.711, 0.000)
Ho (0.807, 0.615, 0.510)
Te (0.713, 0.425, 0.167)
Te (0.499, 0.997, 0.776)
La (0.889, 0.777, 0.187)
Ag (0.568, 0.137, 0.958)
Te (0.287, 0.575, 0.667)
Ag (0.432, 0.863, 0.458)
Te (0.957, 0.914, 0.573)
Te (0.305, 0.609, 0.344)
La (0.876, 0.751, 0.807)

Properties
ΔE_f (raw)   -1.287 eV/atom


No. 4
Below is crystalline Cs2KTaO4 at its relaxed geometry, with properties calculated at the PBE level.

Cell: 6.490 7.187 12.822 Å, 83.44 75.34 63.16°
Fractional coordinates of all 16 atoms:
K (0.000, 0.000, 0.000)
O (0.203, 0.323, 0.421)
Ta (0.500, 0.000, 0.000)
O (0.376, 0.677, 0.421)
K (0.750, 0.500, 0.500)
O (0.374, 0.823, 0.079)
O (0.474, 0.323, 0.579)
Cs (0.807, 0.000, 0.387)
Ta (0.250, 0.500, 0.500)
Cs (0.557, 0.500, 0.887)
Cs (0.193, 0.000, 0.613)
O (0.947, 0.677, 0.579)
O (0.803, 0.823, 0.921)
O (0.276, 0.177, 0.921)
Cs (0.943, 0.500, 0.113)
O (0.547, 0.177, 0.079)

Properties
ΔE_f (raw)   -2.012 eV/atom